1.
VASP calculation (GGA-PBE) on a relaxed structure of BaMnTl.

The structure in POSCAR format:
```
BaMnTl
1.0
-2.1442 -3.4294 2.7467
2.8712 -1.3029 -3.7365
3.7811 -0.0290 2.9155
Ba Mn Tl
1 1 1
direct
0.0000 0.0000 0.9999
0.6667 0.3333 0.5001
0.3333 0.6667 0.5000
```

DFT formation energy, meV per atom: 161.0
Energy above the lowest structure with this stoichiometry, meV per atom: 22
Uncorrected energy, eV/cell: -13.0
Size of the total moment, μB per atom: 1.2091

2.
VASP calculation (GGA-PBE) on a relaxed structure of Ba2MnTl.

The structure in POSCAR format:
```
Ba2MnTl
1.0
4.9576 0.0000 0.0000
0.0000 5.2556 0.0047
0.0000 2.6220 6.1190
Ba Mn Tl
2 1 1
direct
0.0000 0.9813 0.9124
0.5000 0.2732 0.3284
0.0000 0.6743 0.5270
0.5000 0.5712 0.7322
```

DFT formation energy, meV per atom: 108.6
Uncorrected energy, eV/cell: -14.9
Size of the total moment, μB per atom: 0.9045